The following is a DFT calculation (PBE-GGA) of a relaxed CeAgSbS4 crystal.

Calculated values
Uncorrected formation energy ... -5.99 eV/f.u.
E ... -5.06 eV/atom

a = 7.8397 Å, b = 8.1805 Å, c = 11.3692 Å
α = 90.00°, β = 90.00°, γ = 90.00°
Space group Imma (No. 74)
Inequivalent atoms, fractional coordinates:
Ce 0.0000 0.0000 0.0000 [4 per cell]
Ag 0.0000 0.2500 0.3723 [4 per cell]
Sb 0.2500 0.2500 0.7500 [4 per cell]
S 0.0000 0.0123 0.7602 [8 per cell]
S 0.2344 0.2500 0.9911 [8 per cell]